# Sr2MoPdO6, relaxed, DFT PBE with a Hubbard U
# - Energy: -130.0 eV per cell
# - Total magnetization: 0.00 μB per formula unit
data_Sr2MoPdO6
_chemical_formula_sum 'Sr4 Mo2 Pd2 O12'
_symmetry_space_group_name_H-M 'C 1 2/m 1'
_symmetry_Int_Tables_number 12
_symmetry_space_group_name_Hall '-C 2y'
_cell_length_a 10.7138
_cell_length_b 5.4874
_cell_length_c 5.2354
_cell_angle_alpha 90.00
_cell_angle_beta 112.57
_cell_angle_gamma 90.00
loop_
_atom_site_label
_atom_site_fract_x
_atom_site_fract_y
_atom_site_fract_z
Sr1 0.2338 0.0000 0.2145
Mo1 0.0000 0.5000 0.0000
Pd1 0.0000 0.0000 0.5000
O1 0.0674 0.2489 0.8117
O2 0.1768 0.5000 0.2789